# 1
Ta2SbP: PBEsol geometry, meta-GGA SCAN.

Unit cell a=3.5963 b=3.5963 c=19.8236 alpha=90.00 beta=90.00 gamma=120.00
Space group R-3m (No. 166, hexagonal axes)
Symmetry-distinct sites (fractional):
Ta  0.0000  0.0000  0.2283
Sb  0.0000  0.0000  0.0000
P  0.0000  0.0000  0.5000

Summary:
Crystal system ... trigonal
Energy ... -545.2 eV/cell

***

# 2
Li2PbSe: PBEsol geometry, meta-GGA SCAN.

Unit cell a=3.580 b=3.923 c=11.383 alpha=90.00 beta=90.00 gamma=90.00
Space group Imm2 (No. 44)
Symmetry-distinct sites (fractional):
Li  0.000  0.000  0.000
Li  0.000  0.500  0.179
Pb  0.000  0.500  0.792
Se  0.000  0.000  0.523

Summary:
Crystal system ... orthorhombic
Energy ... -206.8 eV/cell

***

# 3
Zn2Cu3: PBEsol geometry, meta-GGA SCAN.

Unit cell a=8.611 b=12.218 c=4.616 alpha=90.00 beta=90.00 gamma=90.00
Space group Fdd2 (No. 43)
Symmetry-distinct sites (fractional):
Zn  0.030  0.300  0.000
Cu  0.000  0.000  0.433
Cu  0.043  0.401  0.467

Summary:
Crystal system ... orthorhombic
Formation energy from the elements ... -0.0725 eV per atom
Energy ... -583.9 eV/cell

***

# 4
MnTeRu2: PBEsol geometry, meta-GGA SCAN.

Unit cell a=2.9390 b=2.9390 c=24.6280 alpha=90.00 beta=90.00 gamma=120.00
Space group R3m (No. 160, hexagonal axes)
Symmetry-distinct sites (fractional):
Mn  0.0000  0.0000  0.0000
Te  0.0000  0.0000  0.7534
Ru  0.0000  0.0000  0.2560
Ru  0.0000  0.0000  0.5056

Summary:
Crystal system ... trigonal
Energy ... -370.2 eV/cell

***

# 5
Al11TlO17: PBEsol geometry, meta-GGA SCAN.

Unit cell a=5.614 b=9.722 c=22.895 alpha=90.00 beta=90.00 gamma=90.00
Space group Cmcm (No. 63)
Symmetry-distinct sites (fractional):
Al  0.000  0.000  0.000
Al  0.000  0.167  0.105
Al  0.000  0.333  0.525
Al  0.000  0.333  0.675
Al  0.250  0.083  0.605
Tl  0.000  0.334  0.250
O  0.000  0.000  0.140
O  0.000  0.157  0.549
O  0.000  0.333  0.055
O  0.000  0.333  0.750
O  0.000  0.499  0.144
O  0.235  0.078  0.049
O  0.248  0.251  0.144

Summary:
Crystal system ... orthorhombic
Energy ... -1428.3 eV/cell

***

# 6
Sc3C: PBEsol geometry, meta-GGA SCAN.

Unit cell a=3.2784 b=3.2784 c=24.6323 alpha=90.00 beta=90.00 gamma=120.00
Space group R-3m (No. 166, hexagonal axes)
Symmetry-distinct sites (fractional):
Sc  0.0000  0.0000  0.0000
Sc  0.0000  0.0000  0.2164
C  0.0000  0.0000  0.5000

Summary:
Crystal system ... trigonal
Formation energy from the elements ... -0.3560 eV per atom
Energy ... -162.7 eV/cell

***

# 7
CsLiPS2: PBEsol geometry, meta-GGA SCAN.

Unit cell a=5.560 b=5.560 c=5.631 alpha=90.00 beta=90.00 gamma=90.00
Space group P4/mmm (No. 123)
Symmetry-distinct sites (fractional):
Cs  0.000  0.000  0.000
Li  0.500  0.500  0.500
P  0.000  0.000  0.500
S  0.000  0.500  0.000

Summary:
Crystal system ... tetragonal
Energy ... -64.5 eV/cell

***

# 8
RbNbAsBr2: PBEsol geometry, meta-GGA SCAN.

Unit cell a=5.303 b=5.303 c=4.973 alpha=90.00 beta=90.00 gamma=90.00
Space group P4/mmm (No. 123)
Symmetry-distinct sites (fractional):
Rb  0.000  0.000  0.000
Nb  0.500  0.500  0.500
As  0.500  0.500  0.000
Br  0.000  0.500  0.500

Summary:
Crystal system ... tetragonal
Energy ... -116.6 eV/cell

***

# 9
BaWSe2: PBEsol geometry, meta-GGA SCAN.

Unit cell a=4.254 b=4.254 c=11.226 alpha=90.00 beta=90.00 gamma=90.00
Space group I-4m2 (No. 119)
Symmetry-distinct sites (fractional):
Ba  0.000  0.000  0.000
W  0.000  0.500  0.750
Se  0.000  0.000  0.500
Se  0.000  0.500  0.250

Summary:
Crystal system ... tetragonal
Energy ... -296.2 eV/cell

***

# 10
CaY2Mg: PBEsol geometry, meta-GGA SCAN.

Unit cell a=3.576 b=3.576 c=9.588 alpha=90.00 beta=90.00 gamma=90.00
Space group P4mm (No. 99)
Symmetry-distinct sites (fractional):
Ca  0.000  0.000  0.000
Y  0.000  0.000  0.465
Y  0.500  0.500  0.711
Mg  0.500  0.500  0.243

Summary:
Crystal system ... tetragonal
Formation energy from the elements ... -0.0057 eV per atom
Energy ... -70.3 eV/cell

***

# 11
TaHCl2: PBEsol geometry, meta-GGA SCAN.

Unit cell a=5.956 b=5.956 c=5.956 alpha=90.00 beta=90.00 gamma=90.00
Space group Fm-3m (No. 225)
Symmetry-distinct sites (fractional):
Ta  0.000  0.000  0.000
H  0.000  0.000  0.500
Cl  0.250  0.250  0.250

Summary:
Crystal system ... cubic
Energy ... -339.9 eV/cell

***

# 12
Ca2HfSbO: PBEsol geometry, meta-GGA SCAN.

Unit cell a=6.050 b=6.050 c=3.894 alpha=90.00 beta=90.00 gamma=90.00
Space group P4/mmm (No. 123)
Symmetry-distinct sites (fractional):
Ca  0.000  0.500  0.000
Hf  0.000  0.000  0.000
Sb  0.500  0.500  0.500
O  0.000  0.000  0.500

Summary:
Crystal system ... tetragonal
Energy ... -129.1 eV/cell